Entry 1:
Below is a relaxed structure of KNi, with properties calculated at the PBE level.

magnetic moment	0.500	μB/atom
calculated volume	68.166	Å³/atom
E_form	1.383	eV/atom

CIF file:
```
data_KNi
_chemical_formula_sum 'K6 Ni6'
_space_group_name_H-M_alt 'P m -3 n'
_space_group_IT_number 223
_space_group_name_Hall '-P 4n 2 3'
_cell_length_a 9.352
_cell_length_b 9.352
_cell_length_c 9.352
_cell_angle_alpha 90.00
_cell_angle_beta 90.00
_cell_angle_gamma 90.00
loop_
_atom_site_label
_atom_site_fract_x
_atom_site_fract_y
_atom_site_fract_z
K1 0.000 0.250 0.500
Ni1 0.000 0.500 0.250
```



Entry 2:
Below is a relaxed structure of BaRe2AsBr, with properties calculated at the PBE level.

magnetic moment	1.292	μB/atom
uncorrected formation energy	2697	meV/atom
calculated volume	50.155	Å³/atom

CIF file:
```
data_BaRe2AsBr
_chemical_formula_sum 'Ba1 Re2 As1 Br1'
_space_group_name_H-M_alt 'P 4/m m m'
_space_group_IT_number 123
_space_group_name_Hall '-P 4 2'
_cell_length_a 6.443
_cell_length_b 6.443
_cell_length_c 6.041
_cell_angle_alpha 90.00
_cell_angle_beta 90.00
_cell_angle_gamma 90.00
loop_
_atom_site_label
_atom_site_fract_x
_atom_site_fract_y
_atom_site_fract_z
Ba1 0.000 0.000 0.000
Re1 0.000 0.500 0.000
As1 0.500 0.500 0.500
Br1 0.000 0.000 0.500
```



Entry 3:
Below is a relaxed structure of LiMgBeAl, with properties calculated at the PBE level.

magnetic moment	0.000	μB/atom
calculated volume	14.600	Å³/atom
E_form	0.059	eV/atom

CIF file:
```
data_LiMgBeAl
_chemical_formula_sum 'Li4 Mg4 Be4 Al4'
_space_group_name_H-M_alt 'F -4 3 m'
_space_group_IT_number 216
_space_group_name_Hall 'F -4 2 3'
_cell_length_a 6.159
_cell_length_b 6.159
_cell_length_c 6.159
_cell_angle_alpha 90.00
_cell_angle_beta 90.00
_cell_angle_gamma 90.00
loop_
_atom_site_label
_atom_site_fract_x
_atom_site_fract_y
_atom_site_fract_z
Li1 0.000 0.000 0.000
Mg1 0.250 0.250 0.250
Be1 0.000 0.000 0.500
Al1 0.250 0.250 0.750
```